Ac2LaDyTe5: relaxed, PBE.

a b c (Å): 5.4984 5.4984 11.9196
angles (deg): 90.00 90.00 90.00
Closest atoms and distances in Å follow each position.
Atoms (fractional coordinates):
Ac 0.0000 0.0000 0.1966  9 Te 3.61-3.94
Ac 0.0000 0.0000 0.8034  9 Te 3.61-3.94
La 0.5000 0.5000 0.5000  2 Te 2.98
Dy 0.5000 0.5000 0.0000  6 Te 2.75-2.98
Te 0.0000 0.0000 0.5000  2 Ac 3.62, 4 La 3.89
Te 0.0000 0.5000 0.0000  2 Dy 2.75
Te 0.5000 0.0000 0.0000  2 Dy 2.75
Te 0.5000 0.5000 0.2498  1 Dy 2.98, 1 La 2.98
Te 0.5000 0.5000 0.7502  1 Dy 2.98, 1 La 2.98

Summary:
E_tot in eV per atom: -4.7961
Magnetic moment in μB/atom: 0.000
Symmetry: P4/mmm, No. 123

=====

AcLa4Dy3Te8: relaxed, PBE.

a b c (Å): 9.0499 9.0499 9.0499
angles (deg): 59.88 59.88 59.88
Closest atoms and distances in Å follow each position.
Atoms (fractional coordinates):
Ac 0.0000 0.0000 0.0000  6 Te 3.24
La 0.0000 0.0000 0.5000  6 Te 3.27-3.28
La 0.0000 0.5000 0.0000  6 Te 3.27-3.28
La 0.5000 0.0000 0.0000  6 Te 3.27-3.28
La 0.5000 0.5000 0.5000  6 Te 3.16
Dy 0.0000 0.5000 0.5000  6 Te 3.12
Dy 0.5000 0.0000 0.5000  6 Te 3.12
Dy 0.5000 0.5000 0.0000  6 Te 3.12
Te 0.2533 0.2533 0.7344  2 Dy 3.12, 3 La 3.16-3.28, 1 Ac 3.24
Te 0.2533 0.7344 0.2533  2 Dy 3.12, 3 La 3.16-3.28, 1 Ac 3.24
Te 0.2558 0.2558 0.2558  3 Dy 3.12, 3 La 3.27
Te 0.2656 0.7467 0.7467  2 Dy 3.12, 3 La 3.16-3.28, 1 Ac 3.24
Te 0.7344 0.2533 0.2533  2 Dy 3.12, 3 La 3.16-3.28, 1 Ac 3.24
Te 0.7442 0.7442 0.7442  3 Dy 3.12, 3 La 3.27
Te 0.7467 0.2656 0.7467  2 Dy 3.12, 3 La 3.16-3.28, 1 Ac 3.24
Te 0.7467 0.7467 0.2656  2 Dy 3.12, 3 La 3.16-3.28, 1 Ac 3.24

Summary:
E_tot in eV per atom: -5.3716
Magnetic moment in μB/atom: 0.000
Symmetry: R-3m, No. 166

=====

AcLaDyTh: relaxed, PBE.

a b c (Å): 5.9060 5.9060 5.9060
angles (deg): 60.00 60.00 60.00
Closest atoms and distances in Å follow each position.
Atoms (fractional coordinates):
Ac 0.0000 0.0000 0.0000  4 Th 3.62, 4 Dy 3.62
La 0.5000 0.5000 0.5000  4 Dy 3.62, 4 Th 3.62
Dy 0.2500 0.2500 0.2500  4 La 3.62, 4 Ac 3.62
Th 0.7500 0.7500 0.7500  4 La 3.62, 4 Ac 3.62

Summary:
Magnetic moment in μB/atom: 0.000
Symmetry: F-43m, No. 216
Offset from the most stable computed form in eV per atom: 0.202
Energy of formation in meV/atom: 243

=====

AcLa4Dy2Th: relaxed, PBE.

a b c (Å): 6.4387 6.4387 10.4585
angles (deg): 114.04 114.04 47.57
Closest atoms and distances in Å follow each position.
Atoms (fractional coordinates):
Ac 0.0000 0.0000 0.0000  8 La 3.74-3.78, 4 Dy 3.78
La 0.2455 0.2455 0.8648  1 Th 3.62, 4 Dy 3.64-3.88, 4 La 3.67-3.80, 3 Ac 3.74
La 0.2540 0.2540 0.3829  4 Dy 3.57-3.76, 4 La 3.60-3.67, 3 Th 3.67-3.70, 1 Ac 3.78
La 0.7460 0.7460 0.6171  4 Dy 3.57-3.76, 4 La 3.60-3.67, 3 Th 3.67-3.70, 1 Ac 3.78
La 0.7545 0.7545 0.1352  1 Th 3.62, 4 Dy 3.64-3.88, 4 La 3.67-3.80, 3 Ac 3.74
Dy 0.4968 0.4968 0.2617  8 La 3.57-3.88, 2 Th 3.59, 2 Ac 3.78
Dy 0.5032 0.5032 0.7383  8 La 3.57-3.88, 2 Th 3.59, 2 Ac 3.78
Th 0.0000 0.0000 0.5000  4 Dy 3.59, 8 La 3.62-3.70

Summary:
Magnetic moment in μB/atom: 0.000
Symmetry: C2/m, No. 12
Energy of formation in meV/atom: 49

=====

AcLaDyTh: relaxed, PBE.

a b c (Å): 3.6921 3.6921 10.6070
angles (deg): 90.00 90.00 90.00
Closest atoms and distances in Å follow each position.
Atoms (fractional coordinates):
Ac 0.0000 0.0000 0.0000  4 Ac 3.69, 4 Dy 3.82, 4 La 3.99
La 0.5000 0.5000 0.7158  4 Th 3.57, 4 La 3.69, 4 Ac 3.99
Dy 0.5000 0.5000 0.2627  4 Th 3.52, 4 Dy 3.69, 4 Ac 3.82
Th 0.0000 0.0000 0.4856  4 Dy 3.52, 4 La 3.57, 4 Th 3.69

Summary:
Magnetic moment in μB/atom: 0.000
Symmetry: P4mm, No. 99
Offset from the most stable computed form in eV per atom: 0.000
Energy of formation in meV/atom: 41

=====

AcLa2DyTl2: relaxed, PBE.

a b c (Å): 4.9454 9.7327 8.6530
angles (deg): 90.00 90.00 90.00
Closest atoms and distances in Å follow each position.
Atoms (fractional coordinates):
Ac 0.0000 0.0803 0.0000  5 Tl 3.46-3.63, 2 Dy 3.85
Ac 0.0000 0.9197 0.5000  5 Tl 3.46-3.63, 2 Dy 3.85
La 0.0000 0.3278 0.3843  4 Tl 3.17-3.29
La 0.0000 0.6722 0.8843  4 Tl 3.17-3.29
La 0.5000 0.4185 0.0529  5 Tl 3.56-3.72, 4 La 3.79-3.89, 1 Dy 3.98
La 0.5000 0.5815 0.5529  5 Tl 3.56-3.72, 4 La 3.79-3.89, 1 Dy 3.98
Dy 0.5000 0.1853 0.6650  4 Tl 3.14-3.30
Dy 0.5000 0.8147 0.1650  4 Tl 3.14-3.30
Tl 0.0000 0.3653 0.7615  2 Dy 3.14, 2 La 3.17-3.28, 1 Ac 3.46
Tl 0.0000 0.6347 0.2615  2 Dy 3.14, 2 La 3.17-3.28, 1 Ac 3.46
Tl 0.5000 0.1201 0.2913  2 Dy 3.17-3.30, 2 La 3.29
Tl 0.5000 0.8799 0.7913  2 Dy 3.17-3.30, 2 La 3.29

Summary:
Magnetic moment in μB/atom: 0.311
Symmetry: Pmc2_1, No. 26
Energy of formation in meV/atom: -272

=====

AcLa6Dy2Tm: relaxed, PBE.

a b c (Å): 9.1088 9.1088 9.9312
angles (deg): 93.72 93.72 117.31
Closest atoms and distances in Å follow each position.
Atoms (fractional coordinates):
Ac 0.0251 0.9749 0.7500  4 Dy 3.54-3.59, 6 La 3.76-3.96
Ac 0.9749 0.0251 0.2500  4 Dy 3.54-3.59, 6 La 3.76-3.96
La 0.0020 0.5526 0.6885  3 La 3.37-3.77, 1 Tm 3.50, 2 Dy 3.56-3.76, 1 Ac 3.76
La 0.1160 0.7537 0.0507  6 La 3.54-3.89, 1 Dy 3.66, 2 Ac 3.78-3.96
La 0.2463 0.8840 0.4493  6 La 3.54-3.89, 1 Dy 3.66, 2 Ac 3.78-3.96
La 0.2954 0.5091 0.8799  3 Dy 3.35-3.54, 4 La 3.36-3.70, 2 Tm 3.46-3.69
La 0.4474 0.9980 0.8115  3 La 3.37-3.77, 1 Tm 3.50, 2 Dy 3.56-3.76, 1 Ac 3.76
La 0.4909 0.7046 0.6201  3 Dy 3.35-3.54, 4 La 3.36-3.70, 2 Tm 3.46-3.69
La 0.5091 0.2954 0.3799  3 Dy 3.35-3.54, 4 La 3.36-3.70, 2 Tm 3.46-3.69
La 0.5526 0.0020 0.1885  3 La 3.37-3.77, 1 Tm 3.50, 2 Dy 3.56-3.76, 1 Ac 3.76
La 0.7046 0.4909 0.1201  3 Dy 3.35-3.54, 4 La 3.36-3.70, 2 Tm 3.46-3.69
La 0.7537 0.1160 0.5507  6 La 3.54-3.89, 1 Dy 3.66, 2 Ac 3.78-3.96
La 0.8840 0.2463 0.9493  6 La 3.54-3.89, 1 Dy 3.66, 2 Ac 3.78-3.96
La 0.9980 0.4474 0.3115  3 La 3.37-3.77, 1 Tm 3.50, 2 Dy 3.56-3.76, 1 Ac 3.76
Dy 0.2045 0.3061 0.5462  5 La 3.35-3.66, 2 Ac 3.54-3.59, 1 Tm 3.60
Dy 0.3061 0.2045 0.0462  5 La 3.35-3.66, 2 Ac 3.54-3.59, 1 Tm 3.60
Dy 0.6939 0.7955 0.9538  5 La 3.35-3.66, 2 Ac 3.54-3.59, 1 Tm 3.60
Dy 0.7955 0.6939 0.4538  5 La 3.35-3.66, 2 Ac 3.54-3.59, 1 Tm 3.60
Tm 0.4123 0.5877 0.2500  6 La 3.46-3.69, 2 Dy 3.60
Tm 0.5877 0.4123 0.7500  6 La 3.46-3.69, 2 Dy 3.60

Summary:
Magnetic moment in μB/atom: 0.000
Symmetry: C2/c, No. 15
Energy of formation in meV/atom: 111

=====

AcLaDy4Tm2: relaxed, PBE.

a b c (Å): 7.2540 10.1206 7.2739
angles (deg): 90.00 90.04 90.00
Closest atoms and distances in Å follow each position.
Atoms (fractional coordinates):
Ac 0.0000 0.0000 0.0000  2 Tm 3.63, 2 La 3.64, 8 Dy 3.65
Ac 0.0000 0.5000 0.5000  8 Dy 3.61-3.62, 4 Tm 3.63-3.64
La 0.0000 0.0000 0.5000  2 La 3.63, 2 Ac 3.64, 8 Dy 3.68
La 0.5000 0.0000 0.5000  2 La 3.63, 8 Dy 3.63, 2 Tm 3.64
Dy 0.2573 0.2548 0.7545  4 Dy 3.52-3.73, 4 Tm 3.53-3.60, 2 Ac 3.61-3.65, 2 La 3.63-3.68
Dy 0.2573 0.7452 0.7545  4 Dy 3.52-3.73, 4 Tm 3.53-3.60, 2 Ac 3.61-3.65, 2 La 3.63-3.68
Dy 0.2575 0.2548 0.2455  4 Dy 3.52-3.73, 4 Tm 3.53-3.60, 2 Ac 3.62-3.65, 2 La 3.63-3.68
Dy 0.2575 0.7452 0.2455  4 Dy 3.52-3.73, 4 Tm 3.53-3.60, 2 Ac 3.62-3.65, 2 La 3.63-3.68
Dy 0.7425 0.2548 0.7545  4 Dy 3.52-3.73, 4 Tm 3.53-3.60, 2 Ac 3.62-3.65, 2 La 3.63-3.68
Dy 0.7425 0.7452 0.7545  4 Dy 3.52-3.73, 4 Tm 3.53-3.60, 2 Ac 3.62-3.65, 2 La 3.63-3.68
Dy 0.7427 0.2548 0.2455  4 Dy 3.52-3.73, 4 Tm 3.53-3.60, 2 Ac 3.61-3.65, 2 La 3.63-3.68
Dy 0.7427 0.7452 0.2455  4 Dy 3.52-3.73, 4 Tm 3.53-3.60, 2 Ac 3.61-3.65, 2 La 3.63-3.68
Tm 0.0000 0.5000 0.0000  8 Dy 3.58, 2 Tm 3.63, 2 Ac 3.64
Tm 0.5000 0.0000 0.0000  8 Dy 3.60, 2 Ac 3.63, 2 La 3.64
Tm 0.5000 0.5000 0.0000  8 Dy 3.53, 4 Tm 3.63-3.64
Tm 0.5000 0.5000 0.5000  8 Dy 3.56, 2 Ac 3.63, 2 Tm 3.64

Summary:
Magnetic moment in μB/atom: 0.000
Symmetry: P2/m, No. 10
Energy of formation in meV/atom: 47

=====

Number 1: N(E_F) 9.15 states/eV/f.u.. Number 2: N(E_F) 12.18 states/eV/f.u.. Number 3: N(E_F) 11.82 states/eV/f.u.. Number 4: N(E_F) 15.47 states/eV/f.u.. Number 5: N(E_F) 5.63 states/eV/f.u.. Number 6: N(E_F) 5.65 states/eV/f.u.. Number 7: N(E_F) 15.25 states/eV/f.u.. Number 8: N(E_F) 12.03 states/eV/f.u..